1.
CdIn2AsH after structural relaxation. Source: Alexandria via LeMat-Bulk, functional PBEsol.

- Spin magnetization: 0.0 μB per formula unit
- Energy: -14.3 eV per cell

Cell lengths 4.7834, 4.7834, 4.2055 Å; angles 90.00, 90.00, 90.00 degrees
Last column: nearest neighbours and their distance in Å.
Fractional coordinates of all 5 atoms:
Cd1 0.0000 0.0000 0.0000  2 H 2.10
In1 0.0000 0.5000 0.5000  2 H 2.39
In2 0.5000 0.0000 0.5000  2 H 2.39
As1 0.5000 0.5000 0.0000  8 In 3.18, 4 Cd 3.38
H1 0.0000 0.0000 0.5000  2 Cd 2.10

=====

2.
HfCd3As after structural relaxation. Source: Alexandria via LeMat-Bulk, functional PBEsol.

- Spin magnetization: 0.0 μB per formula unit
- Energy of formation from the pure elements: 4.3 eV per formula unit
- Energy: -14.9 eV per cell

Cell lengths 5.0313, 5.0313, 5.0313 Å; angles 90.00, 90.00, 90.00 degrees
Last column: nearest neighbours and their distance in Å.
Fractional coordinates of all 5 atoms:
Hf1 0.0000 0.0000 0.0000  12 Cd 3.56
Cd1 0.0000 0.5000 0.5000  2 As 2.52
Cd2 0.5000 0.0000 0.5000  2 As 2.52
Cd3 0.5000 0.5000 0.0000  2 As 2.52
As1 0.5000 0.5000 0.5000  6 Cd 2.52

=====

3.
CdHg2As after structural relaxation. Source: Alexandria via LeMat-Bulk, functional PBEsol.

- Excess energy over the best structure of this formula in the dataset: 0 meV/atom
- Spin magnetization: 0.0 μB per formula unit
- Energy of formation from the pure elements: 0.6 eV per formula unit
- Energy: -6.9 eV per cell

Cell lengths 8.7398, 8.7398, 8.7398 Å; angles 22.67, 22.67, 22.67 degrees
Last column: nearest neighbours and their distance in Å.
Fractional coordinates of all 4 atoms:
Cd1 0.0000 0.0000 0.0000  6 Hg 2.94
Hg1 0.2484 0.2484 0.2484  3 As 2.88, 3 Cd 2.94
Hg2 0.7516 0.7516 0.7516  3 As 2.88, 3 Cd 2.94
As1 0.5000 0.5000 0.5000  6 Hg 2.88

=====

4.
CdHg2As after structural relaxation. Source: Alexandria via LeMat-Bulk, functional PBEsol.

- Excess energy over the best structure of this formula in the dataset: 33 meV/atom
- Spin magnetization: 0.0 μB per formula unit
- Energy of formation from the pure elements: 0.7 eV per formula unit
- Energy: -6.7 eV per cell

Cell lengths 4.9623, 4.9623, 4.9623 Å; angles 60.00, 60.00, 60.00 degrees
Last column: nearest neighbours and their distance in Å.
Fractional coordinates of all 4 atoms:
Cd1 0.0000 0.0000 0.0000  4 Hg 3.04, 4 As 3.04
Hg1 0.2500 0.2500 0.2500  4 Cd 3.04, 4 Hg 3.04
Hg2 0.5000 0.5000 0.5000  4 Hg 3.04, 4 As 3.04
As1 0.7500 0.7500 0.7500  4 Hg 3.04, 4 Cd 3.04

=====

5.
NbCdHgAs2 after structural relaxation. Source: Alexandria via LeMat-Bulk, functional PBEsol.

- Spin magnetization: 2.4 μB per formula unit
- Energy of formation from the pure elements: 6.5 eV per formula unit
- Energy: -16.3 eV per cell

Cell lengths 4.9215, 4.9215, 5.3809 Å; angles 90.00, 90.00, 90.00 degrees
Last column: nearest neighbours and their distance in Å.
Fractional coordinates of all 5 atoms:
Nb1 0.0000 0.0000 0.0000  2 Cd 2.69
Cd1 0.0000 0.0000 0.5000  4 As 2.46, 2 Nb 2.69
Hg1 0.5000 0.5000 0.0000  4 Nb 3.48, 8 As 3.65
As1 0.0000 0.5000 0.5000  2 Cd 2.46
As2 0.5000 0.0000 0.5000  2 Cd 2.46

=====

6.
Cd3AsI after structural relaxation. Source: Alexandria via LeMat-Bulk, functional PBEsol.

- Uncorrected formation energy: 4.8 eV per formula unit
- Spin magnetization: 0.0 μB per formula unit
- Energy: -5.7 eV per cell

Cell lengths 5.5600, 5.5600, 5.5600 Å; angles 90.00, 90.00, 90.00 degrees
Last column: nearest neighbours and their distance in Å.
Fractional coordinates of all 5 atoms:
Cd1 0.0000 0.0000 0.5000  2 I 2.78
Cd2 0.0000 0.5000 0.0000  2 I 2.78
Cd3 0.5000 0.0000 0.0000  2 I 2.78
As1 0.5000 0.5000 0.5000  12 Cd 3.93
I1 0.0000 0.0000 0.0000  6 Cd 2.78

=====

7.
Cd2As3I after structural relaxation. Source: Alexandria via LeMat-Bulk, functional PBEsol.

- Uncorrected formation energy: -1.1 eV per formula unit
- Spin magnetization: 0.0 μB per formula unit
- Energy: -41.1 eV per cell

Cell lengths 6.3710, 6.3710, 7.9519 Å; angles 97.23, 97.23, 97.36 degrees
Last column: nearest neighbours and their distance in Å.
Fractional coordinates of all 12 atoms:
Cd1 0.0979 0.3906 0.2949  3 As 2.63-2.73
Cd2 0.3906 0.0979 0.7949  3 As 2.63-2.73
Cd3 0.6094 0.9021 0.2051  3 As 2.63-2.73
Cd4 0.9021 0.6094 0.7051  3 As 2.63-2.73
As1 0.0790 0.1742 0.9729  2 As 2.43-2.45, 1 Cd 2.64
As2 0.1742 0.0790 0.4729  2 As 2.43-2.45, 1 Cd 2.64
As3 0.2108 0.7892 0.2500  2 As 2.45, 2 Cd 2.63
As4 0.7892 0.2108 0.7500  2 As 2.45, 2 Cd 2.63
As5 0.8258 0.9210 0.5271  2 As 2.43-2.45, 1 Cd 2.64
As6 0.9210 0.8258 0.0271  2 As 2.43-2.45, 1 Cd 2.64
I1 0.3746 0.6254 0.7500  2 Cd 2.97
I2 0.6254 0.3746 0.2500  2 Cd 2.97

=====

8.
Cd2AsI after structural relaxation. Source: Alexandria via LeMat-Bulk, functional PBEsol.

- Uncorrected formation energy: -0.9 eV per formula unit
- Spin magnetization: 0.0 μB per formula unit
- Energy: -20.4 eV per cell

Cell lengths 7.8732, 7.8732, 7.8732 Å; angles 132.22, 132.22, 69.89 degrees
Last column: nearest neighbours and their distance in Å.
Fractional coordinates of all 8 atoms:
Cd1 0.0573 0.6250 0.9323  2 As 2.55
Cd2 0.3750 0.3073 0.4323  2 As 2.55
Cd3 0.6927 0.1250 0.0677  2 As 2.55
Cd4 0.8750 0.9427 0.5677  2 As 2.55
As1 0.0000 0.0000 0.0000  4 Cd 2.55
As2 0.7500 0.2500 0.5000  4 Cd 2.55
I1 0.2500 0.7500 0.5000  4 Cd 3.04
I2 0.5000 0.5000 0.0000  4 Cd 3.04

=====

9.
CdAsOs2I after structural relaxation. Source: Alexandria via LeMat-Bulk, functional PBEsol.

- Uncorrected formation energy: 12.7 eV per formula unit
- Spin magnetization: 1.7 μB per formula unit
- Energy: -19.8 eV per cell

Cell lengths 4.9623, 4.9623, 4.7172 Å; angles 90.00, 90.00, 90.00 degrees
Last column: nearest neighbours and their distance in Å.
Fractional coordinates of all 5 atoms:
Cd1 0.0000 0.0000 0.0000  2 As 2.36, 4 Os 2.48
As1 0.0000 0.0000 0.5000  2 Cd 2.36
Os1 0.0000 0.5000 0.0000  2 Cd 2.48
Os2 0.5000 0.0000 0.0000  2 Cd 2.48
I1 0.5000 0.5000 0.5000  8 Os 3.42, 4 As 3.51

=====

10.
Cd4AsPI3 after structural relaxation. Source: Alexandria via LeMat-Bulk, functional PBEsol.

- Uncorrected formation energy: -2.8 eV per formula unit
- Spin magnetization: 0.0 μB per formula unit
- Energy: -190.3 eV per cell

Cell lengths 12.8058, 12.8058, 12.8058 Å; angles 90.00, 90.00, 90.00 degrees
Last column: nearest neighbours and their distance in Å.
Fractional coordinates of all 72 atoms:
Cd1 0.0026 0.2381 0.5333  1 P 2.51, 1 As 2.57
Cd2 0.0026 0.2619 0.0333  1 P 2.51, 1 As 2.57
Cd3 0.0333 0.0026 0.2619  1 P 2.51, 1 As 2.57
Cd4 0.0333 0.4974 0.7619  1 P 2.51, 1 As 2.57
Cd5 0.2194 0.2194 0.2194  1 As 2.57
Cd6 0.2194 0.2806 0.7194  1 As 2.57
Cd7 0.2381 0.5333 0.0026  1 P 2.51, 1 As 2.57
Cd8 0.2381 0.9667 0.5026  1 P 2.51, 1 As 2.57
Cd9 0.2619 0.0333 0.0026  1 P 2.51, 1 As 2.57
Cd10 0.2619 0.4667 0.5026  1 P 2.51, 1 As 2.57
Cd11 0.2806 0.7194 0.2194  1 As 2.57
Cd12 0.2806 0.7806 0.7194  1 As 2.57
Cd13 0.4667 0.5026 0.2619  1 P 2.51, 1 As 2.57
Cd14 0.4667 0.9974 0.7619  1 P 2.51, 1 As 2.57
Cd15 0.4974 0.7381 0.5333  1 P 2.51, 1 As 2.57
Cd16 0.4974 0.7619 0.0333  1 P 2.51, 1 As 2.57
Cd17 0.5026 0.2381 0.9667  1 P 2.51, 1 As 2.57
Cd18 0.5026 0.2619 0.4667  1 P 2.51, 1 As 2.57
Cd19 0.5333 0.0026 0.2381  1 P 2.51, 1 As 2.57
Cd20 0.5333 0.4974 0.7381  1 P 2.51, 1 As 2.57
Cd21 0.7194 0.2194 0.2806  1 As 2.57
Cd22 0.7194 0.2806 0.7806  1 As 2.57
Cd23 0.7381 0.5333 0.4974  1 P 2.51, 1 As 2.57
Cd24 0.7381 0.9667 0.9974  1 P 2.51, 1 As 2.57
Cd25 0.7619 0.0333 0.4974  1 P 2.51, 1 As 2.57
Cd26 0.7619 0.4667 0.9974  1 P 2.51, 1 As 2.57
Cd27 0.7806 0.7194 0.2806  1 As 2.57
Cd28 0.7806 0.7806 0.7806  1 As 2.57
Cd29 0.9667 0.5026 0.2381  1 P 2.51, 1 As 2.57
Cd30 0.9667 0.9974 0.7381  1 P 2.51, 1 As 2.57
Cd31 0.9974 0.7381 0.9667  1 P 2.51, 1 As 2.57
Cd32 0.9974 0.7619 0.4667  1 P 2.51, 1 As 2.57
As1 0.1037 0.1037 0.1037  4 Cd 2.57
As2 0.1037 0.3963 0.6037  4 Cd 2.57
As3 0.3963 0.6037 0.1037  4 Cd 2.57
As4 0.3963 0.8963 0.6037  4 Cd 2.57
As5 0.6037 0.1037 0.3963  4 Cd 2.57
As6 0.6037 0.3963 0.8963  4 Cd 2.57
As7 0.8963 0.6037 0.3963  4 Cd 2.57
As8 0.8963 0.8963 0.8963  4 Cd 2.57
P1 0.0493 0.5493 0.9507  1 P 2.19
P2 0.0493 0.9507 0.4507  1 P 2.19
P3 0.4507 0.0493 0.9507  1 P 2.19
P4 0.4507 0.4507 0.4507  1 P 2.19
P5 0.5493 0.5493 0.5493  1 P 2.19
P6 0.5493 0.9507 0.0493  1 P 2.19
P7 0.9507 0.0493 0.5493  1 P 2.19
P8 0.9507 0.4507 0.0493  1 P 2.19
I1 0.0585 0.7414 0.6901  2 Cd 2.91-2.98
I2 0.0585 0.7586 0.1901  2 Cd 2.91-2.98
I3 0.1901 0.0585 0.7586  2 Cd 2.91-2.98
I4 0.1901 0.4415 0.2586  2 Cd 2.91-2.98
I5 0.2414 0.6901 0.4415  2 Cd 2.91-2.98
I6 0.2414 0.8099 0.9415  2 Cd 2.91-2.98
I7 0.2586 0.1901 0.4415  2 Cd 2.91-2.98
I8 0.2586 0.3099 0.9415  2 Cd 2.91-2.98
I9 0.3099 0.5585 0.7586  2 Cd 2.91-2.98
I10 0.3099 0.9415 0.2586  2 Cd 2.91-2.98
I11 0.4415 0.2414 0.6901  2 Cd 2.91-2.98
I12 0.4415 0.2586 0.1901  2 Cd 2.91-2.98
I13 0.5585 0.7414 0.8099  2 Cd 2.91-2.98
I14 0.5585 0.7586 0.3099  2 Cd 2.91-2.98
I15 0.6901 0.0585 0.7414  2 Cd 2.91-2.98
I16 0.6901 0.4415 0.2414  2 Cd 2.91-2.98
I17 0.7414 0.6901 0.0585  2 Cd 2.91-2.98
I18 0.7414 0.8099 0.5585  2 Cd 2.91-2.98
I19 0.7586 0.1901 0.0585  2 Cd 2.91-2.98
I20 0.7586 0.3099 0.5585  2 Cd 2.91-2.98
I21 0.8099 0.5585 0.7414  2 Cd 2.91-2.98
I22 0.8099 0.9415 0.2414  2 Cd 2.91-2.98
I23 0.9415 0.2414 0.8099  2 Cd 2.91-2.98
I24 0.9415 0.2586 0.3099  2 Cd 2.91-2.98

=====

11.
CdAsPd2I after structural relaxation. Source: Alexandria via LeMat-Bulk, functional PBEsol.

- Uncorrected formation energy: 4.6 eV per formula unit
- Spin magnetization: 0.0 μB per formula unit
- Energy: -15.4 eV per cell

Cell lengths 4.8709, 4.8709, 5.5644 Å; angles 90.00, 90.00, 90.00 degrees
Last column: nearest neighbours and their distance in Å.
Fractional coordinates of all 5 atoms:
Cd1 0.0000 0.0000 0.0000  2 I 2.78
As1 0.5000 0.5000 0.0000  4 Cd 3.44, 8 Pd 3.70
Pd1 0.0000 0.5000 0.5000  2 I 2.44
Pd2 0.5000 0.0000 0.5000  2 I 2.44
I1 0.0000 0.0000 0.5000  4 Pd 2.44

=====

12.
CdTe2AsI after structural relaxation. Source: Alexandria via LeMat-Bulk, functional PBEsol.

- Uncorrected formation energy: 1.8 eV per formula unit
- Spin magnetization: 0.0 μB per formula unit
- Energy: -13.3 eV per cell

Cell lengths 5.3804, 5.3804, 5.5576 Å; angles 90.00, 90.00, 90.00 degrees
Last column: nearest neighbours and their distance in Å.
Fractional coordinates of all 5 atoms:
Cd1 0.0000 0.0000 0.0000  4 I 3.80, 8 Te 3.87
Te1 0.0000 0.5000 0.5000  2 As 2.69
Te2 0.5000 0.0000 0.5000  2 As 2.69
As1 0.5000 0.5000 0.5000  4 Te 2.69, 2 I 2.78
I1 0.5000 0.5000 0.0000  2 As 2.78